Entry 1:
The following is a PBE calculation of a geometry-optimized HoMgAgPd structure, from the Alexandria database.

Summary:
The raw total energy is -4.10 eV per atom. As for the space group: F-43m.

abc: 4.8453 4.8453 4.8453
angles: 60.00 60.00 60.00
Closest atoms and distances in Å follow each position.
Fractional positions:
Pd (0.2500, 0.2500, 0.2500)  4 Ho 2.97, 4 Mg 2.97
Ag (0.7500, 0.7500, 0.7500)  4 Mg 2.97, 4 Ho 2.97
Mg (0.5000, 0.5000, 0.5000)  4 Ag 2.97, 4 Pd 2.97
Ho (0.0000, 0.0000, 0.0000)  4 Pd 2.97, 4 Ag 2.97

=====

Entry 2:
The following is a PBE calculation of a geometry-optimized MgUPdPt structure, from the Alexandria database.

Summary:
The raw total energy is -6.56 eV per atom. As for the space group: F-43m.

abc: 4.7831 4.7831 4.7831
angles: 60.00 60.00 60.00
Closest atoms and distances in Å follow each position.
Fractional positions:
Pt (0.7500, 0.7500, 0.7500)  4 U 2.93, 4 Mg 2.93
Pd (0.2500, 0.2500, 0.2500)  4 U 2.93, 4 Mg 2.93
Mg (0.0000, 0.0000, 0.0000)  4 Pt 2.93, 4 Pd 2.93
U (0.5000, 0.5000, 0.5000)  4 Pt 2.93, 4 Pd 2.93

=====

Entry 3:
The following is a PBE calculation of a geometry-optimized MnTlInTe3 structure, from the Alexandria database.

Summary:
For the uncorrected formation energy, the calculation gives -4.84 kcal/mol of atoms. As for the space group: P2_1/m.

abc: 4.2229 8.9084 11.0816
angles: 104.21 90.00 90.00
Closest atoms and distances in Å follow each position.
Fractional positions:
Tl (0.7500, 0.7873, 0.7785)  7 Te 3.34-3.74
Mn (0.7500, 0.3478, 0.9125)  5 Te 2.76-2.90
Tl (0.2500, 0.2127, 0.2215)  7 Te 3.34-3.74
In (0.2500, 0.1111, 0.6331)  4 Te 2.81-2.98
Te (0.2500, 0.5210, 0.8342)  3 Mn 2.76-2.87
Mn (0.2500, 0.6522, 0.0875)  5 Te 2.76-2.90
In (0.7500, 0.8889, 0.3669)  4 Te 2.81-2.98
Te (0.2500, 0.7778, 0.4977)  3 In 2.87-2.98
Te (0.7500, 0.4790, 0.1658)  3 Mn 2.76-2.87
Te (0.2500, 0.1192, 0.8879)  1 In 2.81, 2 Mn 2.90
Te (0.7500, 0.8808, 0.1121)  1 In 2.81, 2 Mn 2.90
Te (0.7500, 0.2222, 0.5023)  3 In 2.87-2.98

=====

Entry 4:
The following is a PBE calculation of a geometry-optimized Dy7Er3In2 structure, from the Alexandria database.

Summary:
The raw total energy is -4.16 eV per atom. As for the space group: R-3m.

abc: 6.5422 6.5422 11.0084
angles: 72.71 72.71 60.00
Closest atoms and distances in Å follow each position.
Fractional positions:
Dy (0.4170, 0.9213, 0.2446)  2 In 3.16, 5 Dy 3.24-3.30
Dy (0.9213, 0.4170, 0.2446)  2 In 3.16, 5 Dy 3.24-3.30
Dy (0.5830, 0.0787, 0.7554)  2 In 3.16, 5 Dy 3.24-3.30
In (0.6662, 0.6662, 0.0013)  6 Dy 3.16
Dy (0.0787, 0.5830, 0.7554)  2 In 3.16, 5 Dy 3.24-3.30
Er (0.0000, 0.0000, 0.0000)  6 In 3.78, 12 Dy 4.13
Dy (0.4170, 0.4170, 0.2446)  2 In 3.16, 5 Dy 3.24-3.30
In (0.3338, 0.3338, 0.9987)  6 Dy 3.16
Dy (0.5830, 0.5830, 0.7554)  2 In 3.16, 5 Dy 3.24-3.30
Dy (0.5000, 0.5000, 0.5000)  6 Dy 3.26
Er (0.1428, 0.1428, 0.5716)  12 Dy 3.78-3.87, 3 Er 4.06
Er (0.8572, 0.8572, 0.4284)  12 Dy 3.78-3.87, 3 Er 4.06

=====

Entry 5:
The following is a PBE calculation of a geometry-optimized Zn8GaAu2 structure, from the Alexandria database.

Summary:
The raw total energy is -1.81 eV per atom. As for the space group: C2/m.

abc: 5.0579 6.7746 6.7746
angles: 58.95 101.89 101.89
Closest atoms and distances in Å follow each position.
Fractional positions:
Zn (0.9071, 0.5907, 0.5907)  4 Zn 2.53-2.74, 1 Au 2.60
Zn (0.7666, 0.1883, 0.1883)  2 Au 2.55-2.57, 3 Zn 2.74-2.75, 1 Ga 2.75
Zn (0.0929, 0.4093, 0.4093)  4 Zn 2.53-2.74, 1 Au 2.60
Zn (0.2334, 0.8117, 0.8117)  2 Au 2.55-2.57, 3 Zn 2.74-2.75, 1 Ga 2.75
Ga (0.0000, 0.0000, 0.0000)  2 Au 2.68, 6 Zn 2.75-2.87
Zn (0.4036, 0.3894, 0.7963)  6 Zn 2.60-2.89, 2 Au 2.66-2.73, 1 Ga 2.87
Zn (0.4036, 0.7963, 0.3894)  6 Zn 2.60-2.89, 2 Au 2.66-2.73, 1 Ga 2.87
Au (0.7159, 0.7769, 0.7769)  7 Zn 2.55-2.73, 1 Ga 2.68
Zn (0.5964, 0.2037, 0.6106)  6 Zn 2.60-2.89, 2 Au 2.66-2.73, 1 Ga 2.87
Zn (0.5964, 0.6106, 0.2037)  6 Zn 2.60-2.89, 2 Au 2.66-2.73, 1 Ga 2.87
Au (0.2841, 0.2231, 0.2231)  7 Zn 2.55-2.73, 1 Ga 2.68

=====

Entry 6:
The following is a PBE calculation of a geometry-optimized Ce2PmCd3 structure, from the Alexandria database.

Summary:
The raw total energy is -3.41 eV per atom. As for the space group: P4/mmm.

abc: 3.8065 3.8065 11.6669
angles: 90.00 90.00 90.00
Closest atoms and distances in Å follow each position.
Fractional positions:
Ce (0.5000, 0.5000, 0.1673)  8 Cd 3.32-3.34
Cd (0.0000, 0.0000, 0.3367)  4 Pm 3.30, 4 Ce 3.34
Cd (0.0000, 0.0000, 0.6633)  4 Pm 3.30, 4 Ce 3.34
Cd (0.0000, 0.0000, 0.0000)  8 Ce 3.32
Ce (0.5000, 0.5000, 0.8327)  8 Cd 3.32-3.34
Pm (0.5000, 0.5000, 0.5000)  8 Cd 3.30

=====

Entry 7:
The following is a PBE calculation of a geometry-optimized La6CePmY2 structure, from the Alexandria database.

Summary:
The raw total energy is -5.10 eV per atom. As for the space group: C2/m.

abc: 9.0506 6.8960 7.0389
angles: 119.33 107.22 90.00
Closest atoms and distances in Å follow each position.
Fractional positions:
Y (0.8217, 0.8972, 0.7945)  1 Y 3.35, 4 La 3.46-3.58, 1 Pm 3.54
La (0.1932, 0.5957, 0.7064)  1 Pm 3.27, 3 La 3.34-3.55, 1 Ce 3.35, 2 Y 3.46-3.58
La (0.8068, 0.8893, 0.2936)  1 Pm 3.27, 3 La 3.34-3.55, 1 Ce 3.35, 2 Y 3.46-3.58
Y (0.1783, 0.1028, 0.2055)  1 Y 3.35, 4 La 3.46-3.58, 1 Pm 3.54
La (0.8068, 0.4043, 0.2936)  1 Pm 3.27, 3 La 3.34-3.55, 1 Ce 3.35, 2 Y 3.46-3.58
Pm (0.5000, 0.0000, 0.0000)  4 La 3.27, 2 Y 3.54
La (0.4151, 0.6621, 0.3243)  1 Ce 3.60, 3 Y 3.83-3.99, 1 Pm 3.95, 6 La 3.98-4.00
La (0.5849, 0.3379, 0.6757)  1 Ce 3.60, 3 Y 3.83-3.99, 1 Pm 3.95, 6 La 3.98-4.00
La (0.1932, 0.1107, 0.7064)  1 Pm 3.27, 3 La 3.34-3.55, 1 Ce 3.35, 2 Y 3.46-3.58
Ce (0.0000, 0.5000, 0.0000)  6 La 3.35-3.60

=====

Entry 8:
The following is a PBE calculation of a geometry-optimized Tl4PRh structure, from the Alexandria database.

Summary:
The raw total energy is -2.87 eV per atom. As for the space group: F-43m.

abc: 6.1027 6.1027 6.1027
angles: 60.00 60.00 60.00
Closest atoms and distances in Å follow each position.
Fractional positions:
Rh (0.0000, 0.0000, 0.0000)  12 Tl 3.58, 4 P 3.74
Tl (0.3749, 0.8753, 0.3749)  6 Tl 3.05
P (0.7500, 0.7500, 0.7500)  12 Tl 3.58, 4 Rh 3.74
Tl (0.3749, 0.3749, 0.3749)  6 Tl 3.05
Tl (0.8753, 0.3749, 0.3749)  6 Tl 3.05
Tl (0.3749, 0.3749, 0.8753)  6 Tl 3.05